A plane-wave DFT calculation with PBE was carried out for a relaxed SrCdRh2C crystal.

Cell: 5.0853 5.0853 4.5310 Å, 90.00 90.00 90.00°
Positions (direct):
Sr 0.0000 0.0000 0.0000
Cd 0.5000 0.5000 0.5000
Rh 0.0000 0.5000 0.0000
Rh 0.5000 0.0000 0.0000
C 0.0000 0.0000 0.5000

As for the theoretical density: 5.92 g cm⁻³. The value obtained for the formation enthalpy at 0 K is 2.14 eV/atom. Its crystal system is tetragonal. The raw total energy is -15.81 eV for the cell shown.